[1]
Material: Na2Pm3HoS6
Method: DFT, PBE
State: optimized geometry Values from VASP.

The structure in Quantum ESPRESSO input format:
```
&SYSTEM
  ibrav = 0, nat = 12, ntyp = 4
/
ATOMIC_SPECIES
Na 22.99 Na.upf
Pm 145.00 Pm.upf
Ho 164.93 Ho.upf
S 32.06 S.upf
CELL_PARAMETERS angstrom
3.479 -6.018 0.000
3.479 6.018 0.000
-2.308 0.000 6.557
ATOMIC_POSITIONS crystal
Na 0.166 0.834 0.000
Na 0.834 0.166 0.000
Pm 0.000 0.000 0.500
Pm 0.330 0.670 0.500
Pm 0.670 0.330 0.500
Ho 0.500 0.500 0.000
S 0.094 0.418 0.755
S 0.260 0.260 0.251
S 0.418 0.094 0.755
S 0.582 0.906 0.245
S 0.740 0.740 0.749
S 0.906 0.582 0.245
```

Output
**Raw formation energy**: -180.9 kJ/mol of atoms
**Magnetization**: 0.000 μB/f.u.
**Fermi-level density of states**: 3.1 states/eV/cell
**E**: -5.73 eV/atom
**Crystal system**: monoclinic

[2]
Material: LaSm3Tm6Sc2
Method: DFT, PBE
State: optimized geometry Values from VASP.

The structure in Quantum ESPRESSO input format:
```
&SYSTEM
  ibrav = 0, nat = 12, ntyp = 4
/
ATOMIC_SPECIES
La 138.91 La.upf
Sm 150.36 Sm.upf
Tm 168.93 Tm.upf
Sc 44.96 Sc.upf
CELL_PARAMETERS angstrom
3.036 -5.258 0.000
3.036 5.258 0.000
-2.018 0.000 11.451
ATOMIC_POSITIONS crystal
La 0.000 0.000 0.000
Sm 0.167 0.833 0.500
Sm 0.500 0.500 0.500
Sm 0.833 0.167 0.500
Tm 0.083 0.419 0.246
Tm 0.254 0.254 0.754
Tm 0.419 0.083 0.246
Tm 0.581 0.917 0.754
Tm 0.746 0.746 0.246
Tm 0.917 0.581 0.754
Sc 0.333 0.667 0.000
Sc 0.667 0.333 0.000
```

Output
**Magnetization**: 0.000 μB/f.u.
**Fermi-level density of states**: 16.8 states/eV/cell
**E**: -4.84 eV/atom
**Energy of formation**: 0.043 eV/atom
**Crystal system**: monoclinic

[3]
Material: Ac6SiPd2I3
Method: DFT, PBE
State: optimized geometry Values from VASP.

The structure in Quantum ESPRESSO input format:
```
&SYSTEM
  ibrav = 0, nat = 12, ntyp = 4
/
ATOMIC_SPECIES
Ac 227.00 Ac.upf
Si 28.09 Si.upf
Pd 106.42 Pd.upf
I 126.90 I.upf
CELL_PARAMETERS angstrom
3.940 -6.818 0.000
3.940 6.818 0.000
-2.621 0.000 8.339
ATOMIC_POSITIONS crystal
Ac 0.097 0.434 0.804
Ac 0.228 0.228 0.195
Ac 0.434 0.097 0.804
Ac 0.566 0.903 0.196
Ac 0.772 0.772 0.805
Ac 0.903 0.566 0.196
Si 0.500 0.500 0.000
Pd 0.167 0.833 0.000
Pd 0.833 0.167 0.000
I 0.000 0.000 0.500
I 0.338 0.662 0.500
I 0.662 0.338 0.500
```

Output
**Raw formation energy**: -86.5 kJ/mol of atoms
**Magnetization**: 0.000 μB/f.u.
**Fermi-level density of states**: 10.0 states/eV/cell
**E**: -4.66 eV/atom
**Crystal system**: monoclinic

[4]
Material: SrNb3S
Method: DFT, PBE
State: optimized geometry Values from VASP.

The structure in Quantum ESPRESSO input format:
```
&SYSTEM
  ibrav = 0, nat = 5, ntyp = 3
/
ATOMIC_SPECIES
Sr 87.62 Sr.upf
Nb 92.91 Nb.upf
S 32.06 S.upf
CELL_PARAMETERS angstrom
4.781 0.000 0.000
0.000 4.781 0.000
0.000 0.000 4.781
ATOMIC_POSITIONS crystal
Sr 0.000 0.000 0.000
Nb 0.000 0.500 0.500
Nb 0.500 0.000 0.500
Nb 0.500 0.500 0.000
S 0.500 0.500 0.500
```

Output
**Raw formation energy**: 25.0 kJ/mol of atoms
**Magnetization**: 0.000 μB/f.u.
**Offset from the most stable computed form**: 0.00 eV/f.u.
**Fermi-level density of states**: 7.9 states/eV/cell
**E**: -6.94 eV/atom
**Crystal system**: cubic

[5]
Material: Sm6HC2I3
Method: DFT, PBE
State: optimized geometry Values from VASP.

The structure in Quantum ESPRESSO input format:
```
&SYSTEM
  ibrav = 0, nat = 12, ntyp = 4
/
ATOMIC_SPECIES
Sm 150.36 Sm.upf
H 1.01 H.upf
C 12.01 C.upf
I 126.90 I.upf
CELL_PARAMETERS angstrom
3.352 -5.793 0.000
3.352 5.793 0.000
-2.258 0.000 7.596
ATOMIC_POSITIONS crystal
Sm 0.093 0.442 0.825
Sm 0.208 0.208 0.176
Sm 0.442 0.093 0.825
Sm 0.558 0.907 0.175
Sm 0.792 0.792 0.824
Sm 0.907 0.558 0.175
H 0.500 0.500 0.000
C 0.166 0.834 0.000
C 0.834 0.166 0.000
I 0.000 0.000 0.500
I 0.333 0.667 0.500
I 0.667 0.333 0.500
```

Output
**Magnetization**: 0.000 μB/f.u.
**Fermi-level density of states**: 5.6 states/eV/cell
**E**: -5.19 eV/atom
**Crystal system**: monoclinic

[6]
Material: AcPr2Sm5Dy
Method: DFT, PBE
State: optimized geometry Values from VASP.

The structure in Quantum ESPRESSO input format:
```
&SYSTEM
  ibrav = 0, nat = 18, ntyp = 4
/
ATOMIC_SPECIES
Ac 227.00 Ac.upf
Pr 140.91 Pr.upf
Sm 150.36 Sm.upf
Dy 162.50 Dy.upf
CELL_PARAMETERS angstrom
-4.480 4.480 7.981
4.480 -4.480 7.981
4.480 4.480 -7.981
ATOMIC_POSITIONS crystal
Ac 0.250 0.250 0.000
Ac 0.750 0.750 0.000
Pr 0.118 0.618 0.736
Pr 0.382 0.118 0.500
Pr 0.618 0.882 0.500
Pr 0.882 0.382 0.264
Sm 0.000 0.000 0.000
Sm 0.072 0.159 0.500
Sm 0.159 0.659 0.088
Sm 0.341 0.428 0.500
Sm 0.428 0.928 0.088
Sm 0.500 0.500 0.000
Sm 0.572 0.072 0.912
Sm 0.659 0.572 0.500
Sm 0.841 0.341 0.912
Sm 0.928 0.841 0.500
Dy 0.250 0.750 0.500
Dy 0.750 0.250 0.500
```

Output
**Magnetization**: 0.000 μB/f.u.
**Fermi-level density of states**: 21.2 states/eV/cell
**E**: -4.40 eV/atom
**Energy of formation**: 0.252 eV/atom
**Crystal system**: tetragonal

[7]
Material: SrLi3Pt
Method: DFT, PBE
State: optimized geometry Values from VASP.

The structure in Quantum ESPRESSO input format:
```
&SYSTEM
  ibrav = 0, nat = 5, ntyp = 3
/
ATOMIC_SPECIES
Sr 87.62 Sr.upf
Li 6.94 Li.upf
Pt 195.08 Pt.upf
CELL_PARAMETERS angstrom
4.891 0.000 0.000
0.000 4.891 0.000
0.000 0.000 4.891
ATOMIC_POSITIONS crystal
Sr 0.000 0.000 0.000
Li 0.000 0.500 0.500
Li 0.500 0.000 0.500
Li 0.500 0.500 0.000
Pt 0.500 0.500 0.500
```

Output
**Magnetization**: 0.000 μB/f.u.
**Offset from the most stable computed form**: 0.50 eV/f.u.
**Fermi-level density of states**: 2.4 states/eV/cell
**E**: -2.94 eV/atom
**Energy of formation**: -0.251 eV/atom
**Crystal system**: cubic

[8]
Material: Sr4AsPb
Method: DFT, PBE
State: optimized geometry Values from VASP.

The structure in Quantum ESPRESSO input format:
```
&SYSTEM
  ibrav = 0, nat = 6, ntyp = 3
/
ATOMIC_SPECIES
Sr 87.62 Sr.upf
As 74.92 As.upf
Pb 207.20 Pb.upf
CELL_PARAMETERS angstrom
0.000 4.839 4.839
4.839 0.000 4.839
4.839 4.839 0.000
ATOMIC_POSITIONS crystal
Sr 0.125 0.125 0.125
Sr 0.125 0.125 0.626
Sr 0.125 0.626 0.125
Sr 0.626 0.125 0.125
As 0.750 0.750 0.750
Pb 0.500 0.500 0.500
```

Output
**Magnetization**: 0.001 μB/f.u.
**Fermi-level density of states**: 7.3 states/eV/cell
**E**: -2.26 eV/atom
**Energy of formation**: 0.258 eV/atom
**Crystal system**: cubic